No. 1
ScRh2CF: relaxed, GGA-PBEsol.

The electronic total energy comes out at -5.263 eV/atom. The total magnetization is 0.220 μB per atom. The density of states at the Fermi level comes out at 7.03 states/eV per cell. As for the mass density: 5.3 g/cm3. Its raw formation energy is 785 kJ/mol of formula units.

The structure belongs to space group P4/mmm (No. 123); the cell edges are 4.662, 4.662 and 4.062 Å and the angles 90.00°, 90.00° and 90.00°. Symmetry generates all atoms from Sc at (0.000, 0.000, 0.000), Rh at (0.000, 0.500, 0.000), C at (0.000, 0.000, 0.500) and F at (0.500, 0.500, 0.500).



No. 2
LaCoBr2: relaxed, GGA-PBEsol.

The electronic total energy comes out at -4.470 eV/atom. The total magnetization is 0.503 μB per atom. The density of states at the Fermi level comes out at 22.66 states/eV per cell. As for the mass density: 6.4 g/cm3. Its raw formation energy is -102 kJ/mol of formula units.

The structure belongs to space group F-43m (No. 216); the cell edges are 7.203, 7.203 and 7.203 Å and the angles 90.00°, 90.00° and 90.00°. Symmetry generates all atoms from La at (0.000, 0.000, 0.000), Co at (0.250, 0.250, 0.250), Br at (0.000, 0.000, 0.500) and Br at (0.250, 0.250, 0.750).



No. 3
HfZrZnO2: relaxed, GGA-PBEsol.

The electronic total energy comes out at -7.424 eV/atom. The total magnetization is 0.000 μB per atom. The density of states at the Fermi level comes out at 2.92 states/eV per cell. As for the mass density: 7.2 g/cm3. Its raw formation energy is -526 kJ/mol of formula units.

The structure belongs to space group P4/mmm (No. 123); the cell edges are 3.995, 3.995 and 5.328 Å and the angles 90.00°, 90.00° and 90.00°. Symmetry generates all atoms from Hf at (0.000, 0.000, 0.000), Zr at (0.500, 0.500, 0.500), Zn at (0.500, 0.500, 0.000) and O at (0.000, 0.500, 0.500).



Question: mass density of number 3 (HfZrZnO2)?
Answer: 7.2 g/cm3



Question: Which of these has the lowest raw formation energy?
Answer: HfZrZnO2



What did the first record say?
ScRh2CF: relaxed, GGA-PBEsol.

The electronic total energy comes out at -5.263 eV/atom. The total magnetization is 0.220 μB per atom. The density of states at the Fermi level comes out at 7.03 states/eV per cell. As for the mass density: 5.3 g/cm3. Its raw formation energy is 785 kJ/mol of formula units.

The structure belongs to space group P4/mmm (No. 123); the cell edges are 4.662, 4.662 and 4.062 Å and the angles 90.00°, 90.00° and 90.00°. Symmetry generates all atoms from Sc at (0.000, 0.000, 0.000), Rh at (0.000, 0.500, 0.000), C at (0.000, 0.000, 0.500) and F at (0.500, 0.500, 0.500).